(1)
A plane-wave DFT calculation with PBEsol was carried out for a relaxed structure of ZnMoSe.

```
ZnMoSe
1.0
6.1281 0.0000 0.0000
0.0000 6.1281 0.0000
0.0000 0.0000 6.1281
Zn Mo Se
4 4 4
Cartesian
0.0000 0.0000 0.0000 Zn
0.0000 3.0641 3.0641 Zn
3.0641 0.0000 3.0641 Zn
3.0641 3.0641 0.0000 Zn
1.5320 1.5320 4.5961 Mo
1.5320 4.5961 1.5320 Mo
4.5961 1.5320 1.5320 Mo
4.5961 4.5961 4.5961 Mo
1.5320 1.5320 1.5320 Se
1.5320 4.5961 4.5961 Se
4.5961 1.5320 4.5961 Se
4.5961 4.5961 1.5320 Se
```

- SG: No. 216
- Formation energy from raw total energies: 3.0 eV per formula unit

=====

(2)
A plane-wave DFT calculation with PBEsol was carried out for a relaxed structure of Zn2MoSe.

```
Zn2MoSe
1.0
3.2788 0.0000 0.0000
0.0000 3.2788 0.0000
0.0000 0.0000 5.5897
Zn Mo Se
2 1 1
Cartesian
0.0000 0.0000 0.0000 Zn
1.6394 1.6394 1.2220 Zn
0.0000 0.0000 2.7174 Mo
1.6394 1.6394 3.9521 Se
```

- SG: No. 99
- Formation energy from raw total energies: 0.0 eV per formula unit

=====

(3)
A plane-wave DFT calculation with PBEsol was carried out for a relaxed structure of Si3Mo5.

```
Si3Mo5
1.0
-4.8011 4.8011 2.4342
4.8011 -4.8011 2.4342
4.8011 4.8011 -2.4342
Si Mo
6 10
Cartesian
6.4094 1.6083 0.0000 Si
0.0000 0.0000 1.2171 Si
1.6083 3.1928 0.0000 Si
3.1928 1.6083 2.4342 Si
0.0000 0.0000 3.6514 Si
-1.6083 3.1928 2.4342 Si
2.1545 0.7354 0.0000 Mo
4.0658 -2.6466 2.4342 Mo
4.8011 0.0000 1.2171 Mo
4.0658 2.6466 0.0000 Mo
2.1545 -0.7354 2.4342 Mo
2.6466 5.5365 0.0000 Mo
0.7354 2.1545 2.4342 Mo
0.0000 4.8011 1.2171 Mo
0.7354 7.4478 0.0000 Mo
2.6466 4.0658 2.4342 Mo
```

- SG: No. 140
- Offset from the most stable computed form: 0 meV/atom
- Formation energy from raw total energies: -3.7 eV per formula unit

=====

(4)
A plane-wave DFT calculation with PBEsol was carried out for a relaxed structure of SiMo.

```
SiMo
1.0
8.9281 0.0000 0.0000
0.0000 3.2155 0.0000
-1.4176 0.0000 5.8940
Si Mo
6 6
Cartesian
0.0000 0.0000 0.0000 Si
-0.3202 0.0000 3.5164 Si
2.6645 0.0000 1.1789 Si
4.4640 1.6078 0.0000 Si
4.1438 1.6078 3.5164 Si
7.1285 1.6078 1.1789 Si
0.6953 1.6078 1.9968 Mo
0.5580 1.6078 5.2286 Mo
2.3092 0.0000 3.6598 Mo
5.1593 0.0000 1.9968 Mo
5.0220 0.0000 5.2286 Mo
6.7732 1.6078 3.6598 Mo
```

- SG: No. 8
- Formation energy from raw total energies: -0.8 eV per formula unit

=====

(5)
A plane-wave DFT calculation with PBEsol was carried out for a relaxed structure of SiMo.

```
SiMo
1.0
2.8679 0.0000 0.0000
-1.4339 2.4837 0.0000
0.0000 0.0000 11.9795
Si Mo
3 3
Cartesian
0.0000 0.0000 0.0000 Si
0.0000 1.6558 7.9863 Si
1.4340 0.8279 3.9931 Si
0.0000 0.0000 5.9897 Mo
0.0000 1.6558 1.9966 Mo
1.4340 0.8279 9.9829 Mo
```

- SG: No. 166
- Formation energy from raw total energies: -0.2 eV per formula unit

=====

(6)
A plane-wave DFT calculation with PBEsol was carried out for a relaxed structure of SiMo.

```
SiMo
1.0
3.1626 0.0000 0.0000
0.0000 3.1626 0.0000
0.0000 0.0000 5.4988
Si Mo
2 2
Cartesian
0.7907 0.7907 0.6921 Si
2.3720 2.3720 4.8067 Si
0.7907 0.7907 3.5597 Mo
2.3720 2.3720 1.9391 Mo
```

- SG: No. 129
- Formation energy from raw total energies: -0.9 eV per formula unit

=====

(7)
A plane-wave DFT calculation with PBEsol was carried out for a relaxed structure of Si3Mo4.

```
Si3Mo4
1.0
4.8247 0.0000 0.0000
-2.4123 4.1783 0.0000
0.0000 0.0000 4.7573
Si Mo
3 4
Cartesian
-1.2062 2.0891 0.0000 Si
2.4123 0.0000 0.0000 Si
1.2062 2.0891 0.0000 Si
0.0000 0.0000 1.1777 Mo
0.0000 0.0000 3.5796 Mo
0.0000 2.7855 2.3786 Mo
2.4123 1.3928 2.3786 Mo
```

- SG: No. 191
- Formation energy from raw total energies: -1.0 eV per formula unit

=====

(8)
A plane-wave DFT calculation with PBEsol was carried out for a relaxed structure of Si2Mo.

```
Si2Mo
1.0
4.2982 0.0000 0.0000
-2.1491 3.7223 0.0000
0.0000 0.0000 2.5604
Si Mo
2 1
Cartesian
0.0000 2.4815 0.0000 Si
2.1491 1.2408 0.0000 Si
0.0000 0.0000 1.2802 Mo
```

- SG: No. 191
- Formation energy from raw total energies: 0.2 eV per formula unit

=====

> Which of these has the lowest formation energy from raw total energies?

Si3Mo5

=====

> Which value of formation energy from raw total energies does entry 3 give?

-3.7 eV per formula unit

=====

> The highest formation energy from raw total energies belongs to which entry?

ZnMoSe

=====

> Look up the formation energy from raw total energies of the fifth one.

-0.2 eV per formula unit